(1)
A plane-wave DFT calculation with PBE-GGA was carried out for a relaxed Pm2Dy2Tm crystal.

Cell lengths 16.133, 6.123, 6.764 Å; angles 90.00, 102.04, 90.00 degrees
Space group C2/c (No. 15)
One atom of each set of equivalent atoms:
1 Pm 0.195 0.055 0.079 x8
2 Dy 0.095 0.421 0.646 x8
3 Tm 0.000 0.074 0.250 x4

formation energy from the elements	69	meV per atom
N(E_F)	1.737	states/eV/atom
VASP energy	-91.33	eV per cell
crystal system	monoclinic
relative energy among the computed polymorphs	0.00	eV/f.u.


(2)
A plane-wave DFT calculation with PBE-GGA was carried out for a relaxed Pm3Dy2Tm7 crystal.

Cell lengths 6.289, 3.501, 17.372 Å; angles 90.00, 96.28, 90.00 degrees
Space group P2/m (No. 10)
One atom of each set of equivalent atoms:
1 Pm 0.000 0.000 0.000 x1
2 Pm 0.048 0.500 0.658 x2
3 Dy 0.443 0.000 0.325 x2
4 Tm 0.230 0.500 0.165 x2
5 Tm 0.247 0.000 0.500 x2
6 Tm 0.275 0.000 0.834 x2
7 Tm 0.500 0.500 0.000 x1

formation energy from the elements	91	meV per atom
N(E_F)	1.466	states/eV/atom
VASP energy	-53.67	eV per cell
crystal system	monoclinic


(3)
A plane-wave DFT calculation with PBE-GGA was carried out for a relaxed PmDy5Tm2 crystal.

Cell lengths 7.086, 14.173, 4.998 Å; angles 90.00, 90.00, 90.00 degrees
Space group Pbam (No. 55)
One atom of each set of equivalent atoms:
1 Pm 0.000 0.000 0.000 x2
2 Dy 0.000 0.500 0.000 x2
3 Dy 0.002 0.251 0.000 x4
4 Dy 0.248 0.626 0.500 x4
5 Tm 0.249 0.875 0.500 x4

formation energy from the elements	18	meV per atom
N(E_F)	1.231	states/eV/atom
VASP energy	-73.12	eV per cell
crystal system	orthorhombic
relative energy among the computed polymorphs	0.00	eV/f.u.


(4)
A plane-wave DFT calculation with PBE-GGA was carried out for a relaxed Pm6Dy12Tm crystal.

Cell lengths 11.0955, 11.0955, 17.5394 Å; angles 90.00, 90.00, 120.00 degrees
Space group R-3m (No. 166, hexagonal axes)
One atom of each set of equivalent atoms:
1 Pm 0.0710 0.5355 0.2674 x18
2 Dy 0.0990 0.5495 0.9132 x18
3 Dy 0.1061 0.2123 0.9080 x18
4 Tm 0.0000 0.0000 0.5000 x3

formation energy from the elements	124	meV per atom
N(E_F)	1.539	states/eV/atom
VASP energy	-257.52	eV per cell
crystal system	trigonal
relative energy among the computed polymorphs	0.00	eV/f.u.


(5)
A plane-wave DFT calculation with PBE-GGA was carried out for a relaxed Pm2Dy7Tm4 crystal.

Cell lengths 6.0489, 6.0489, 13.2261 Å; angles 90.00, 90.00, 120.00 degrees
Space group P-31m (No. 162)
One atom of each set of equivalent atoms:
1 Pm 0.3333 0.6667 0.0000 x2
2 Dy 0.0000 0.0000 0.0000 x1
3 Dy 0.0000 0.3556 0.2187 x6
4 Tm 0.0000 0.0000 0.3951 x2
5 Tm 0.3333 0.6667 0.5000 x2

formation energy from the elements	193	meV per atom
N(E_F)	1.361	states/eV/atom
VASP energy	-57.09	eV per cell
crystal system	trigonal


(6)
A plane-wave DFT calculation with PBE-GGA was carried out for a relaxed Pm2Dy3Tm5 crystal.

Cell lengths 10.563, 15.710, 9.370 Å; angles 90.00, 124.27, 90.00 degrees
Space group C2/c (No. 15)
One atom of each set of equivalent atoms:
1 Pm 0.146 0.127 0.047 x8
2 Dy 0.000 0.021 0.250 x4
3 Dy 0.152 0.375 0.551 x8
4 Tm 0.000 0.228 0.250 x4
5 Tm 0.000 0.274 0.750 x4
6 Tm 0.000 0.476 0.750 x4
7 Tm 0.242 0.374 0.239 x8

formation energy from the elements	197	meV per atom
N(E_F)	1.770	states/eV/atom
VASP energy	-174.79	eV per cell
crystal system	monoclinic
relative energy among the computed polymorphs	0.00	eV/f.u.


Among the records above, which one has the lowest formation energy from the elements?
PmDy5Tm2


Which formula does entry 6 have?
Pm2Dy3Tm5


Among the records above, which one has the highest formation energy from the elements?
Pm2Dy3Tm5